Entry 1:
## LaPm2Hg2Pb2 (PBE)

Data for an optimized crystal structure of LaPm2Hg2Pb2.

Results
Its formation energy is -304.0 meV per atom. Its electronic total energy is -3.511 eV per atom.

a = 5.134 Å, b = 5.134 Å, c = 9.734 Å
α = 74.71°, β = 74.71°, γ = 60.00°
Sites, in units of the cell vectors:
La: 0.000 0.000 0.000
Pm: 0.132 0.132 0.605
Pm: 0.868 0.868 0.395
Hg: 0.566 0.566 0.302
Hg: 0.434 0.434 0.698
Pb: 0.729 0.729 0.812
Pb: 0.271 0.271 0.188

Entry 2:
## CdP2W (PBE)

Data for an optimized crystal structure of CdP2W.

Results
For the offset from the most stable computed form, the calculation gives 31 meV per atom. Its formation energy is 6.1 meV per atom. Its electronic total energy is -6.166 eV per atom.

a = 3.138 Å, b = 3.138 Å, c = 6.711 Å
α = 90.00°, β = 90.00°, γ = 90.00°
Sites, in units of the cell vectors:
Cd: 0.500 0.500 0.750
P: 0.000 0.000 0.053
P: 0.000 0.000 0.447
W: 0.500 0.500 0.250

Entry 3:
## Fe2AsP (PBE)

Data for an optimized crystal structure of Fe2AsP.

Results
Its formation energy is 24.7 meV per atom. Its electronic total energy is -6.721 eV per atom.

a = 4.048 Å, b = 4.048 Å, c = 2.879 Å
α = 90.00°, β = 90.00°, γ = 89.97°
Each line ends with the local moment (μB).
Sites, in units of the cell vectors:
As: 0.000 0.500 0.500  -0.02
Fe: 0.000 0.000 0.000  0.93
Fe: 0.500 0.500 0.000  0.93
P: 0.500 0.000 0.500  0.00